1.
A relaxed LaCu6Ge2 crystal, computed with PBE.

Cell: 4.212 4.212 7.939 Å, 90.00 90.00 90.00°
Element x y z (fractional)
La 0.000 0.000 0.000
Cu 0.000 0.500 0.324
Cu 0.500 0.000 0.324
Cu 0.000 0.500 0.676
Cu 0.500 0.000 0.676
Cu 0.500 0.500 0.500
Cu 0.000 0.000 0.500
Ge 0.500 0.500 0.163
Ge 0.500 0.500 0.837

***

2.
A relaxed LaCu4Ge2 crystal, computed with PBE.

Cell: 4.178 4.178 8.177 Å, 75.20 75.20 60.00°
Element x y z (fractional)
La 0.000 0.000 0.000
Cu 0.440 0.440 0.679
Cu 0.141 0.141 0.576
Cu 0.560 0.560 0.321
Cu 0.859 0.859 0.424
Ge 0.248 0.248 0.257
Ge 0.752 0.752 0.743

***

3.
A relaxed La2CuGe6 crystal, computed with PBE.

Cell: 11.317 11.317 4.225 Å, 90.00 90.00 158.80°
Element x y z (fractional)
La 0.002 0.998 0.000
La 0.670 0.330 0.000
Cu 0.227 0.773 0.500
Ge 0.284 0.716 0.000
Ge 0.397 0.603 0.000
Ge 0.551 0.449 0.500
Ge 0.118 0.882 0.500
Ge 0.897 0.103 0.500
Ge 0.784 0.216 0.500

***

4.
A relaxed La2Cu3Ge crystal, computed with PBE.

Cell: 5.891 5.891 8.507 Å, 108.15 108.15 95.76°
Element x y z (fractional)
La 0.250 0.750 0.500
La 0.762 0.762 0.000
La 0.750 0.250 0.500
La 0.238 0.238 0.000
Cu 0.664 0.168 0.833
Cu 0.832 0.336 0.167
Cu 0.336 0.832 0.167
Cu 0.168 0.664 0.833
Cu 0.832 0.832 0.664
Cu 0.168 0.168 0.336
Ge 0.335 0.335 0.671
Ge 0.665 0.665 0.329

***

5.
A relaxed LaCu3Ge2 crystal, computed with PBE.

Cell: 4.119 8.025 7.279 Å, 114.10 90.00 104.87°
Element x y z (fractional)
La 0.850 0.700 0.924
La 0.150 0.300 0.076
Cu 0.312 0.623 0.545
Cu 0.965 0.931 0.625
Cu 0.592 0.183 0.659
Cu 0.408 0.817 0.341
Cu 0.035 0.069 0.375
Cu 0.688 0.377 0.455
Ge 0.478 0.955 0.812
Ge 0.522 0.045 0.188
Ge 0.810 0.620 0.318
Ge 0.190 0.380 0.682

***

6.
A relaxed LaCu2Ge3 crystal, computed with PBE.

Cell: 4.233 4.233 12.933 Å, 99.42 99.42 90.00°
Element x y z (fractional)
La 0.849 0.849 0.699
La 0.151 0.151 0.301
Cu 0.250 0.750 0.500
Cu 0.750 0.250 0.500
Cu 0.400 0.400 0.800
Cu 0.600 0.600 0.200
Ge 0.450 0.950 0.901
Ge 0.950 0.450 0.901
Ge 0.550 0.050 0.099
Ge 0.303 0.303 0.606
Ge 0.697 0.697 0.394
Ge 0.050 0.550 0.099

***

7.
A relaxed LaCuGe3 crystal, computed with PBE.

Cell: 5.648 5.648 5.648 Å, 90.00 90.00 90.00°
Element x y z (fractional)
Ge 0.000 0.500 0.000
Ge 0.000 0.000 0.500
Ge 0.500 0.000 0.000
Cu 0.500 0.500 0.500
La 0.000 0.000 0.000

***

8.
A relaxed La2Cu2Ge3 crystal, computed with PBE.

Cell: 4.493 6.903 9.617 Å, 90.00 103.51 90.00°
Element x y z (fractional)
La 0.161 0.250 0.323
La 0.839 0.750 0.677
La 0.949 0.250 0.897
La 0.051 0.750 0.103
Cu 0.687 0.933 0.374
Cu 0.313 0.067 0.626
Cu 0.313 0.433 0.626
Cu 0.687 0.567 0.374
Ge 0.222 0.750 0.445
Ge 0.778 0.250 0.555
Ge 0.563 0.434 0.126
Ge 0.437 0.566 0.874
Ge 0.437 0.934 0.874
Ge 0.563 0.066 0.126

***

9.
A relaxed LaCuGe crystal, computed with PBE.

Cell: 5.775 6.141 4.251 Å, 69.66 68.44 74.71°
Element x y z (fractional)
Ge 0.537 0.801 0.628
Ge 0.788 0.342 0.232
Cu 0.379 0.659 0.277
Cu 0.947 0.483 0.582
La 0.375 0.262 0.978
La 0.951 0.881 0.882

***

10.
A relaxed LaCu4Ge4 crystal, computed with PBE.

Cell: 5.076 8.136 8.136 Å, 90.00 90.00 90.00°
Element x y z (fractional)
La 0.000 0.000 0.000
La 0.500 0.500 0.500
Cu 0.604 0.850 0.323
Cu 0.604 0.150 0.677
Cu 0.104 0.823 0.650
Cu 0.896 0.350 0.823
Cu 0.896 0.650 0.177
Cu 0.396 0.323 0.150
Cu 0.396 0.677 0.850
Cu 0.104 0.177 0.350
Ge 0.392 0.357 0.858
Ge 0.892 0.642 0.857
Ge 0.392 0.643 0.142
Ge 0.108 0.143 0.642
Ge 0.608 0.858 0.643
Ge 0.108 0.857 0.358
Ge 0.892 0.358 0.143
Ge 0.608 0.142 0.357

***

11.
A relaxed LaCuGe crystal, computed with PBE.

Cell: 5.910 4.179 8.057 Å, 105.00 89.99 45.00°
Element x y z (fractional)
Ge 0.794 0.278 0.810
Ge 0.998 0.870 0.401
Cu 0.396 0.574 0.606
Cu 0.896 0.574 0.606
La 0.560 0.745 0.276
La 0.231 0.402 0.935

***

12.
A relaxed LaCuGe crystal, computed with PBE.

Cell: 7.450 4.297 4.167 Å, 90.00 90.00 90.02°
Element x y z (fractional)
Ge 0.741 0.655 0.100
Ge 0.085 0.655 0.100
Cu 0.246 0.155 0.100
Cu 0.580 0.154 0.100
La 0.413 0.655 0.600
La 0.913 0.155 0.600

***

13.
A relaxed La2Cu3Ge5 crystal, computed with PBE.

For the polymorph energy (0 for the lowest one), the calculation gives 0.1539 eV per atom.

Cell: 4.531 4.531 9.614 Å, 90.00 90.00 90.00°
Element x y z (fractional)
La 0.500 0.000 0.269
La 0.000 0.500 0.731
Cu 0.500 0.000 0.611
Cu 0.000 0.500 0.389
Cu 0.000 0.000 0.500
Ge 0.500 0.500 0.000
Ge 0.000 0.000 0.000
Ge 0.500 0.000 0.859
Ge 0.000 0.500 0.141
Ge 0.500 0.500 0.500

***

14.
A relaxed La2Cu3Ge5 crystal, computed with PBE.

For the polymorph energy (0 for the lowest one), the calculation gives 0.0000 eV per atom.

Cell: 6.222 8.522 8.522 Å, 93.19 68.67 68.67°
Element x y z (fractional)
La 0.255 0.870 0.620
La 0.245 0.380 0.130
La 0.745 0.130 0.380
La 0.755 0.620 0.870
Cu 0.119 0.251 0.513
Cu 0.381 0.487 0.749
Cu 0.881 0.749 0.487
Cu 0.619 0.513 0.251
Cu 0.250 0.001 0.999
Cu 0.750 0.999 0.001
Ge 0.358 0.030 0.252
Ge 0.142 0.748 0.970
Ge 0.642 0.970 0.748
Ge 0.858 0.252 0.030
Ge 0.250 0.242 0.758
Ge 0.750 0.758 0.242
Ge 0.250 0.501 0.499
Ge 0.750 0.499 0.501
Ge 0.250 0.756 0.244
Ge 0.750 0.244 0.756

***

15.
A relaxed La7Cu2Ge2 crystal, computed with PBE.

Cell: 6.942 7.084 6.942 Å, 90.01 107.50 89.99°
Element x y z (fractional)
La 0.000 0.284 0.500
La 0.500 0.716 0.000
La 0.000 0.716 0.500
La 0.500 0.284 0.000
La 0.000 0.000 0.000
La 0.500 0.727 0.500
La 0.500 0.273 0.500
Cu 0.715 0.000 0.285
Cu 0.285 0.000 0.715
Ge 0.841 0.500 0.841
Ge 0.159 0.500 0.159

***

16.
A relaxed LiLaCu2Ge2 crystal, computed with PBE.

Cell: 4.217 4.217 7.001 Å, 90.00 90.00 120.00°
Element x y z (fractional)
Li 0.000 0.000 0.500
La 0.000 0.000 0.000
Cu 0.333 0.667 0.657
Cu 0.667 0.333 0.343
Ge 0.333 0.667 0.288
Ge 0.667 0.333 0.712

***

17.
A relaxed LiLa2Cu3Ge4 crystal, computed with PBE.

Cell: 4.284 4.284 10.202 Å, 90.00 90.00 90.00°
Element x y z (fractional)
Li 0.500 0.500 0.500
La 0.500 0.000 0.250
La 0.000 0.500 0.750
Cu 0.000 0.000 0.500
Cu 0.500 0.000 0.873
Cu 0.000 0.500 0.127
Ge 0.500 0.500 0.000
Ge 0.000 0.000 0.000
Ge 0.500 0.000 0.633
Ge 0.000 0.500 0.367

***

18.
A relaxed LiLa2Cu4Ge3 crystal, computed with PBE.

Cell: 4.306 4.306 9.853 Å, 90.00 90.00 90.00°
Element x y z (fractional)
Li 0.500 0.500 0.500
La 0.500 0.000 0.241
La 0.000 0.500 0.759
Cu 0.500 0.500 0.000
Cu 0.000 0.000 0.000
Cu 0.500 0.000 0.621
Cu 0.000 0.500 0.379
Ge 0.000 0.000 0.500
Ge 0.500 0.000 0.867
Ge 0.000 0.500 0.133

***

19.
A relaxed LaLuCuGe crystal, computed with PBE.

Cell: 5.068 5.068 5.068 Å, 60.00 60.00 60.00°
Element x y z (fractional)
Ge 0.250 0.250 0.250
Lu 0.500 0.500 0.500
Cu 0.750 0.750 0.750
La 0.000 0.000 0.000

***

20.
A relaxed La2MgCu3Ge4 crystal, computed with PBE.

Cell: 4.310 4.310 10.457 Å, 90.00 90.00 90.00°
Element x y z (fractional)
La 0.500 0.000 0.239
La 0.000 0.500 0.761
Mg 0.500 0.500 0.500
Cu 0.000 0.000 0.500
Cu 0.500 0.000 0.879
Cu 0.000 0.500 0.121
Ge 0.500 0.500 0.000
Ge 0.000 0.000 0.000
Ge 0.500 0.000 0.646
Ge 0.000 0.500 0.354

***

21.
A relaxed LaMgCuGe2 crystal, computed with PBE.

Cell: 4.278 4.278 6.348 Å, 109.69 109.69 90.00°
Element x y z (fractional)
La 0.000 0.000 0.000
Mg 0.250 0.750 0.500
Cu 0.750 0.250 0.500
Ge 0.614 0.614 0.228
Ge 0.386 0.386 0.772

***

22.
A relaxed LaMg2CuGe crystal, computed with PBE.

Cell: 6.231 5.395 6.231 Å, 90.00 90.00 90.00°
Element x y z (fractional)
Ge 0.000 0.500 0.000
Mg 0.000 0.000 0.500
Mg 0.500 0.000 0.000
Cu 0.500 0.500 0.500
La 0.000 0.000 0.000

***

23.
A relaxed LaMg2CuGe2 crystal, computed with PBE.

Cell: 5.222 5.222 6.569 Å, 113.42 113.42 90.00°
Element x y z (fractional)
La 0.500 0.500 0.000
Mg 0.250 0.750 0.500
Mg 0.750 0.250 0.500
Cu 0.000 0.000 0.000
Ge 0.792 0.792 0.585
Ge 0.208 0.208 0.415

***

It is found that the energy values, taken in the order of the records, are -41.04 -32.82 -45.92 -58.43 -57.83 -59.04 -16.58 -72.73 -30.27 -81.24 -30.03 -30.71 -48.63 -100.34 -53.89 -27.21 -48.02 -46.97 -19.99 -47.67 -22.48 -10.48 -21.81 eV per cell.
It is found that the DOS at the Fermi energy values, taken in the order of the records, are 4.68 2.97 1.89 7.96 6.03 2.79 4.99 2.61 4.28 7.45 5.05 2.86 4.80 5.39 10.47 3.76 3.68 4.46 3.25 3.30 2.78 4.71 2.95 states/eV/cell.
It is found that the magnetic moment values, taken in the order of the records, are 0.0000 0.0000 0.0000 0.0000 0.0000 0.0000 0.0000 0.0000 0.0000 0.0000 0.2020 0.0000 0.0000 0.0000 0.0000 0.0000 0.0000 0.0000 0.0001 0.0000 0.0000 0.0000 0.0000 μB per atom.